[1]
DFT (PBE-GGA) results for a relaxed structure of Nd4Mg5Sn6.

Structure (POSCAR):
```
Nd4Mg5Sn6
1.0
2.368 -10.473 0.000
2.368 10.473 0.000
0.000 0.000 16.772
Nd Mg Sn
8 10 12
Direct
0.018 0.982 0.500
0.034 0.966 0.765
0.163 0.837 0.302
0.174 0.826 0.942
0.826 0.174 0.442
0.837 0.163 0.802
0.966 0.034 0.265
0.982 0.018 0.000
0.155 0.845 0.625
0.304 0.696 0.619
0.341 0.659 0.272
0.348 0.652 0.982
0.440 0.560 0.679
0.560 0.440 0.179
0.652 0.348 0.482
0.659 0.341 0.772
0.696 0.304 0.119
0.845 0.155 0.125
0.110 0.890 0.117
0.227 0.773 0.477
0.235 0.765 0.767
0.429 0.571 0.129
0.429 0.571 0.411
0.441 0.559 0.853
0.559 0.441 0.353
0.571 0.429 0.629
0.571 0.429 0.911
0.765 0.235 0.267
0.773 0.227 0.977
0.890 0.110 0.617
```

- Crystal system: orthorhombic
- Space-group type: No. 36
- Calculated formation energy: -541 meV per atom


[2]
DFT (PBE-GGA) results for a relaxed structure of NdMgSn6.

Structure (POSCAR):
```
NdMgSn6
1.0
4.657 0.000 0.000
0.000 4.657 0.000
0.000 0.000 9.823
Nd Mg Sn
1 1 6
Direct
0.000 0.000 0.000
0.000 0.000 0.500
0.000 0.500 0.258
0.000 0.500 0.742
0.500 0.000 0.258
0.500 0.000 0.742
0.500 0.500 0.000
0.500 0.500 0.500
```

- Crystal system: tetragonal
- Space-group type: No. 123
- Calculated formation energy: -253 meV per atom


[3]
DFT (PBE-GGA) results for a relaxed structure of Nd2MgSn.

Structure (POSCAR):
```
Nd2MgSn
1.0
1.717 0.991 12.176
-1.717 0.991 12.176
0.000 -1.982 12.176
Nd Mg Sn
2 1 1
Direct
0.093 0.093 0.093
0.907 0.907 0.907
0.000 0.000 0.000
0.500 0.500 0.500
```

- Crystal system: trigonal
- Space-group type: No. 166
- Calculated formation energy: -12 meV per atom


[4]
DFT (PBE-GGA) results for a relaxed structure of NdMgSn2.

Structure (POSCAR):
```
NdMgSn2
1.0
4.491 0.000 0.000
0.000 4.491 0.000
0.000 0.000 10.539
Nd Mg Sn
2 2 4
Direct
0.250 0.250 0.238
0.750 0.750 0.762
0.250 0.750 0.500
0.750 0.250 0.500
0.250 0.250 0.690
0.250 0.750 0.000
0.750 0.250 0.000
0.750 0.750 0.310
```

- Crystal system: tetragonal
- Space-group type: No. 129
- Calculated formation energy: -527 meV per atom
- Relative energy among the computed polymorphs: 9 meV per atom


[5]
DFT (PBE-GGA) results for a relaxed structure of NdMgSn2.

Structure (POSCAR):
```
NdMgSn2
1.0
4.802 0.000 0.000
0.000 4.802 0.000
0.000 0.000 4.501
Nd Mg Sn
1 1 2
Direct
0.000 0.000 0.000
0.500 0.500 0.000
0.000 0.500 0.500
0.500 0.000 0.500
```

- Crystal system: tetragonal
- Space-group type: No. 123
- Calculated formation energy: -536 meV per atom
- Relative energy among the computed polymorphs: 0 meV per atom


[6]
DFT (PBE-GGA) results for a relaxed structure of NdMg2Sn.

Structure (POSCAR):
```
NdMg2Sn
1.0
1.676 0.968 11.404
-1.676 0.968 11.404
0.000 -1.935 11.404
Nd Mg Sn
1 2 1
Direct
0.000 0.000 0.000
0.095 0.095 0.095
0.905 0.905 0.905
0.500 0.500 0.500
```

- Crystal system: trigonal
- Space-group type: No. 166
- Calculated formation energy: 110 meV per atom
- Relative energy among the computed polymorphs: 546 meV per atom


no.,E_tot (eV per atom)
1,-3.9452
2,-4.0507
3,-3.7953
4,-4.1189
5,-4.1276
6,-2.8804